No. 1
# Cs3Ce3BeS8

A relaxed Cs3Ce3BeS8 crystal (PBE, Alexandria via LeMat-Bulk).

Output
magnetization: 1.12 μB per cell
formation energy without anion corrections: -1481 meV per atom

a b c (Å): 8.698 8.030 9.020
angles (deg): 112.48 90.00 122.79
Last column: magnetic moment on the atom in μB.
Positions (direct):
1 Ce 0.500 0.500 0.500  0.46
2 S 0.166 0.332 0.635  -0.01
3 S 0.730 0.459 0.685  -0.01
4 S 0.318 0.066 0.304  -0.02
5 Cs 0.500 0.500 0.000  0.00
6 S 0.834 0.668 0.365  -0.01
7 Cs 0.000 0.500 0.000  0.00
8 S 0.270 0.541 0.315  -0.01
9 Ce 0.000 0.500 0.500  0.46
10 Ce 0.500 0.000 0.500  0.34
11 S 0.252 0.934 0.696  -0.02
12 S 0.748 0.066 0.304  -0.02
13 S 0.682 0.934 0.696  -0.02
14 Be 0.000 0.000 0.500  0.00
15 Cs 0.000 0.000 0.000  0.00

=====

No. 2
# LaTa2Pb

A relaxed LaTa2Pb crystal (PBE, Alexandria via LeMat-Bulk).

Output
total energy: -7.5473 eV per atom
magnetization: 0.00 μB per cell

a b c (Å): 5.257 3.192 5.696
angles (deg): 87.55 90.00 90.00
Positions (direct):
1 Ta 0.000 0.910 0.022
2 Pb 0.500 0.750 0.750
3 Ta 0.000 0.590 0.478
4 La 0.500 0.250 0.250

=====

No. 3
# GdLuPuAl

A relaxed GdLuPuAl crystal (PBE, Alexandria via LeMat-Bulk).

Output
total energy: -9.1704 eV per atom
magnetization: 1.02 μB per cell

a b c (Å): 5.279 5.279 5.279
angles (deg): 60.00 60.00 60.00
Last column: magnetic moment on the atom in μB.
Positions (direct):
1 Lu 0.750 0.750 0.750  0.28
2 Pu 0.000 0.000 0.000  5.46
3 Al 0.250 0.250 0.250  -0.01
4 Gd 0.500 0.500 0.500  -7.01

=====

No. 4
# AcCuS2

A relaxed AcCuS2 crystal (PBE, Alexandria via LeMat-Bulk).

Output
energy relative to the lowest polymorph listed for this composition: 171 meV/atom
magnetization: 0.00 μB per cell
formation energy without anion corrections: -1285 meV per atom

a b c (Å): 3.827 3.827 6.465
angles (deg): 107.19 107.20 90.01
Positions (direct):
1 S 0.858 0.518 0.501
2 Cu 0.471 0.631 0.728
3 S 0.585 0.245 0.955
4 Ac 0.221 0.881 0.228

=====

No. 5
# CeLuCdRu

A relaxed CeLuCdRu crystal (PBE, Alexandria via LeMat-Bulk).

Output
total energy: -5.3894 eV per atom
magnetization: 0.18 μB per cell

a b c (Å): 5.032 5.032 5.032
angles (deg): 60.00 60.00 60.00
Last column: magnetic moment on the atom in μB.
Positions (direct):
1 Ce 0.000 0.000 0.000  0.20
2 Cd 0.750 0.750 0.750  0.00
3 Ru 0.250 0.250 0.250  -0.04
4 Lu 0.500 0.500 0.500  0.00

=====

No. 6
# PmGa2Ge

A relaxed PmGa2Ge crystal (PBE, Alexandria via LeMat-Bulk).

Output
energy relative to the lowest polymorph listed for this composition: 0 meV/atom
magnetization: 0.00 μB per cell

a b c (Å): 4.488 4.302 4.302
angles (deg): 90.00 90.00 90.00
Positions (direct):
1 Ga 0.000 0.500 0.000
2 Ga 0.000 0.000 0.500
3 Ge 0.500 0.000 0.000
4 Pm 0.500 0.500 0.500

=====

No. 7
# Be2AsPb

A relaxed Be2AsPb crystal (PBE, Alexandria via LeMat-Bulk).

Output
energy relative to the lowest polymorph listed for this composition: 306 meV/atom
magnetization: 0.00 μB per cell

a b c (Å): 3.304 3.304 6.451
angles (deg): 90.00 90.00 90.00
Positions (direct):
1 As 0.500 0.500 0.750
2 Be 0.000 0.000 0.589
3 Be 0.000 0.000 0.911
4 Pb 0.500 0.500 0.250

=====

No. 8
# PmPrHg4

A relaxed PmPrHg4 crystal (PBE, Alexandria via LeMat-Bulk).

Output
energy relative to the lowest polymorph listed for this composition: 0 meV/atom
magnetization: 0.00 μB per cell

a b c (Å): 4.165 5.507 7.497
angles (deg): 90.05 106.98 90.07
Positions (direct):
1 Pr 0.501 0.497 0.998
2 Hg 0.184 0.497 0.339
3 Hg 0.316 0.997 0.163
4 Hg 0.819 0.497 0.657
5 Pm 0.001 0.997 0.498
6 Hg 0.687 0.997 0.834